DFT (GGA-PBE) results for crystalline PIrSe3 at its relaxed geometry.

Cell: 4.8714 4.8714 4.8714 Å, 90.00 90.00 90.00°
Space group Pm-3m (No. 221)
Unique sites:
1 P 0.0000 0.0000 0.0000 [1 per cell]
2 Ir 0.5000 0.5000 0.5000 [1 per cell]
3 Se 0.0000 0.5000 0.5000 [3 per cell]

Properties
For the formation energy (no corrections), the calculation gives 4.420 eV/f.u. Its uncorrected energy is -20.30 eV per formula unit. The calculation puts the energy above the lowest structure with this stoichiometry at 0.0 meV per atom. As for the density of states at the Fermi level: 7.3 states/eV per cell.

DFT (GGA-PBE) results for crystalline AlBi2Pb at its relaxed geometry.

Cell: 3.5714 3.5714 33.3495 Å, 90.00 90.00 120.00°
Space group R-3m (No. 166, hexagonal axes)
Unique sites:
1 Al 0.0000 0.0000 0.0000 [3 per cell]
2 Bi 0.0000 0.0000 0.3982 [6 per cell]
3 Pb 0.0000 0.0000 0.5000 [3 per cell]

Properties
Its uncorrected energy is -14.56 eV per formula unit. The formation energy from the elements comes out at 0.163 eV per atom. As for the density of states at the Fermi level: 4.8 states/eV per cell.

DFT (GGA-PBE) results for crystalline Tl6SnCl8 at its relaxed geometry.

Cell: 9.5774 9.5774 18.9648 Å, 90.00 90.00 120.00°
Space group R-3 (No. 148, hexagonal axes)
Unique sites:
1 Tl 0.0239 0.4050 0.4197 [18 per cell]
2 Sn 0.0000 0.0000 0.5000 [3 per cell]
3 Cl 0.0000 0.0000 0.1727 [6 per cell]
4 Cl 0.0046 0.2490 0.5848 [18 per cell]

Properties
For the formation energy (no corrections), the calculation gives -15.017 eV/f.u. Its uncorrected energy is -47.99 eV per formula unit. As for the density of states at the Fermi level: 0.0 states/eV per cell.

DFT (GGA-PBE) results for crystalline Mg2TlHg at its relaxed geometry.

Cell: 9.2298 3.3450 6.3346 Å, 90.00 100.69 90.00°
Space group C2/m (No. 12)
Unique sites:
1 Mg 0.2452 0.0000 0.2293 [4 per cell]
2 Tl 0.0000 0.0000 0.5000 [2 per cell]
3 Hg 0.0000 0.5000 0.0000 [2 per cell]

Properties
Its uncorrected energy is -6.26 eV per formula unit. The formation energy from the elements comes out at -0.099 eV per atom. As for the density of states at the Fermi level: 2.8 states/eV per cell.

DFT (GGA-PBE) results for crystalline TcSnI2 at its relaxed geometry.

Cell: 7.5700 7.5700 7.5700 Å, 90.00 90.00 90.00°
Space group Fm-3m (No. 225)
Unique sites:
1 Tc 0.0000 0.0000 0.0000 [4 per cell]
2 Sn 0.0000 0.0000 0.5000 [4 per cell]
3 I 0.2500 0.2500 0.2500 [8 per cell]

Properties
For the formation energy (no corrections), the calculation gives 3.150 eV/f.u. Its uncorrected energy is -14.32 eV per formula unit. The calculation puts the energy above the lowest structure with this stoichiometry at 508.3 meV per atom. As for the density of states at the Fermi level: 7.9 states/eV per cell.

DFT (GGA-PBE) results for crystalline LiEuCdNi at its relaxed geometry.

Cell: 6.8351 6.8351 6.8351 Å, 90.00 90.00 90.00°
Space group F-43m (No. 216)
Unique sites:
1 Li 0.0000 0.0000 0.0000 [4 per cell]
2 Eu 0.2500 0.2500 0.7500 [4 per cell]
3 Cd 0.2500 0.2500 0.2500 [4 per cell]
4 Ni 0.0000 0.0000 0.5000 [4 per cell]

Properties
Its uncorrected energy is -19.22 eV per formula unit. The formation energy from the elements comes out at -0.085 eV per atom. As for the density of states at the Fermi level: 23.8 states/eV per cell.

DFT (GGA-PBE) results for crystalline LiLaSn2 at its relaxed geometry.

Cell: 8.0033 4.4793 11.6549 Å, 90.00 90.00 90.00°
Space group Pnma (No. 62)
Unique sites:
1 Li 0.0124 0.2500 0.1193 [4 per cell]
2 La 0.1611 0.7500 0.3670 [4 per cell]
3 Sn 0.1390 0.7500 0.6783 [4 per cell]
4 Sn 0.1984 0.7500 0.0647 [4 per cell]

Properties
Its uncorrected energy is -17.38 eV per formula unit. The formation energy from the elements comes out at -0.634 eV per atom. As for the density of states at the Fermi level: 4.4 states/eV per cell.

DFT (GGA-PBE) results for crystalline NaZn4Hg at its relaxed geometry.

Cell: 7.5632 7.5632 7.5632 Å, 90.00 90.00 90.00°
Space group F-43m (No. 216)
Unique sites:
1 Na 0.0000 0.0000 0.0000 [4 per cell]
2 Zn 0.1251 0.1251 0.6251 [16 per cell]
3 Hg 0.2500 0.2500 0.2500 [4 per cell]

Properties
Its uncorrected energy is -6.65 eV per formula unit. The formation energy from the elements comes out at 0.011 eV per atom. As for the density of states at the Fermi level: 14.9 states/eV per cell.

Please write out number 4 again, unchanged.
DFT (GGA-PBE) results for crystalline Mg2TlHg at its relaxed geometry.

Cell: 9.2298 3.3450 6.3346 Å, 90.00 100.69 90.00°
Space group C2/m (No. 12)
Unique sites:
1 Mg 0.2452 0.0000 0.2293 [4 per cell]
2 Tl 0.0000 0.0000 0.5000 [2 per cell]
3 Hg 0.0000 0.5000 0.0000 [2 per cell]

Properties
Its uncorrected energy is -6.26 eV per formula unit. The formation energy from the elements comes out at -0.099 eV per atom. As for the density of states at the Fermi level: 2.8 states/eV per cell.

> Among the records above, which one has the lowest uncorrected energy?

Tl6SnCl8

> uncorrected energy of number 5 (TcSnI2)?

-14.32 eV per formula unit

> Among the records above, which one has the highest uncorrected energy?

Mg2TlHg